Entry 1:
First-principles (PBE-GGA) data for Ba2TiFeBr after structural relaxation, as listed in Alexandria.

Values from the calculation:
Density in Mg/m³: 4.2
Magnetization in μB/f.u.: 5.02
Space group: No. 123
Raw total energy in eV/cell: -19.4
Formation energy without anion corrections in meV per atom: 496

Cell: 6.322 4.510 6.322 Å, 90.00 90.00 90.00°
Positions (direct):
1 Ba 0.500 0.000 0.000
2 Ba 0.000 0.000 0.500
3 Ti 0.500 0.500 0.500
4 Br 0.000 0.000 0.000
5 Fe 0.000 0.500 0.000

Entry 2:
First-principles (PBE-GGA) data for Nd3Se2NO after structural relaxation, as listed in Alexandria.

Values from the calculation:
Density in Mg/m³: 6.4
Magnetization in μB/f.u.: 0.00
Space group: No. 8
Raw total energy in eV/cell: -149.3
Formation energy without anion corrections in meV per atom: -2172

Cell: 12.382 12.382 9.845 Å, 83.75 83.75 18.86°
Positions (direct):
1 N 0.724 0.724 0.103
2 N 0.274 0.274 0.894
3 N 0.998 0.998 0.246
4 Nd 0.000 0.000 0.011
5 Nd 0.279 0.279 0.668
6 Nd 0.463 0.463 0.685
7 Nd 0.188 0.188 0.019
8 Nd 0.811 0.811 0.978
9 Nd 0.911 0.911 0.366
10 Nd 0.091 0.091 0.646
11 Nd 0.536 0.536 0.327
12 Nd 0.722 0.722 0.329
13 O 0.447 0.447 0.450
14 O 0.001 0.001 0.752
15 O 0.553 0.553 0.569
16 Se 0.312 0.312 0.338
17 Se 0.866 0.866 0.671
18 Se 0.588 0.588 0.952
19 Se 0.691 0.691 0.653
20 Se 0.134 0.134 0.336
21 Se 0.412 0.412 0.007